MgSnPdS4, optimized geometry, DFT PBE-GGA; formation energy from raw total energies = -0.544 eV/atom; density of states at the Fermi level = 7.02 states/eV/cell; total moment = 0.00 μB per formula unit
1.0
-1.181 -7.175 -2.555
1.513 -1.889 -7.019
5.661 -4.668 -1.133
Mg S Sn Pd
2 8 2 2
direct
0.638 0.612 0.112
0.362 0.388 0.888
0.750 0.217 0.282
0.250 0.783 0.718
0.243 0.241 0.741
0.757 0.759 0.259
0.250 0.218 0.283
0.774 0.241 0.741
0.226 0.759 0.259
0.750 0.782 0.717
0.000 0.000 0.000
0.000 0.500 0.500
0.500 0.000 0.500
0.000 0.000 0.500

***

GaNiIrC, optimized geometry, DFT PBE-GGA; ΔE to the lowest computed polymorph = 60.0 meV per atom; density of states at the Fermi level = 3.48 states/eV/cell; total moment = 0.00 μB per formula unit
1.0
-0.301 -0.307 2.852
-1.068 -3.615 -0.502
8.569 -2.619 0.623
Ir Ga Ni C
2 2 2 2
direct
0.500 0.000 0.352
0.500 0.500 0.852
0.000 0.000 0.738
0.000 0.500 0.238
0.000 0.000 0.050
0.000 0.500 0.550
0.000 0.500 0.012
0.000 0.000 0.512

***

MgIn2W, optimized geometry, DFT PBE-GGA; density of states at the Fermi level = 1.84 states/eV/cell; total moment = 0.00 μB per formula unit; total energy = -4.559 eV per atom
1.0
-0.360 -2.315 -2.736
-1.936 -2.189 2.106
-5.110 2.848 -1.737
W Mg In
1 1 2
direct
0.500 0.500 0.750
0.500 0.500 0.250
0.000 0.000 0.512
0.000 0.000 0.988

***

ZrSbPdRu, optimized geometry, DFT PBE-GGA; formation energy from raw total energies = -0.437 eV/atom; density of states at the Fermi level = 5.35 states/eV/cell; total moment = 0.00 μB per formula unit
1.0
4.658 0.000 0.000
2.329 4.034 0.000
2.329 1.345 3.803
Ru Zr Sb Pd
1 1 1 1
direct
0.750 0.750 0.750
0.500 0.500 0.500
0.000 0.000 0.000
0.250 0.250 0.250

***

Sc5ZnIn2Pt2, optimized geometry, DFT PBE-GGA; density of states at the Fermi level = 17.43 states/eV/cell; total moment = 0.00 μB per formula unit; total energy = -5.731 eV per atom
1.0
3.363 0.000 0.000
0.000 11.253 0.000
0.000 0.000 11.253
Sc In Zn Pt
10 4 2 4
direct
0.500 0.000 0.500
0.500 0.805 0.932
0.500 0.568 0.695
0.500 0.695 0.432
0.500 0.500 0.000
0.500 0.068 0.805
0.500 0.432 0.305
0.500 0.305 0.568
0.500 0.195 0.068
0.500 0.932 0.195
0.000 0.826 0.674
0.000 0.674 0.174
0.000 0.174 0.326
0.000 0.326 0.826
0.000 0.500 0.500
0.000 0.000 0.000
0.000 0.632 0.868
0.000 0.132 0.632
0.000 0.868 0.368
0.000 0.368 0.132

***

CaTbInPt, optimized geometry, DFT PBE-GGA; density of states at the Fermi level = 1.58 states/eV/cell; total moment = 0.00 μB per formula unit; total energy = -4.539 eV per atom
1.0
5.146 0.000 0.000
2.573 4.456 0.000
2.573 1.485 4.201
Ca Pt In Tb
1 1 1 1
direct
0.750 0.750 0.750
0.500 0.500 0.500
0.000 0.000 0.000
0.250 0.250 0.250

***

Ti2ReNiB, optimized geometry, DFT PBE-GGA; density of states at the Fermi level = 5.58 states/eV/cell; total moment = 0.00 μB per formula unit; total energy = -6.794 eV per atom
1.0
4.372 0.000 0.000
0.000 4.410 0.000
0.000 0.000 4.372
Ti Ni Re B
2 1 1 1
direct
0.000 0.000 0.500
0.500 0.000 0.000
0.000 0.000 0.000
0.000 0.500 0.000
0.500 0.500 0.500

***

YTcNi, optimized geometry, DFT PBE-GGA; ΔE to the lowest computed polymorph = 0.0 meV per atom; density of states at the Fermi level = 7.01 states/eV/cell; total moment = 0.00 μB per formula unit
1.0
-0.923 -3.609 0.002
3.585 -0.917 0.433
-2.220 2.495 7.635
Tc Ni Y
2 2 2
direct
0.000 0.500 0.000
0.500 0.000 0.000
0.119 0.119 0.239
0.881 0.881 0.761
0.330 0.330 0.660
0.670 0.670 0.340

***

Ce2TcP2H4, optimized geometry, DFT PBE-GGA; density of states at the Fermi level = 9.63 states/eV/cell; total moment = 0.00 μB per formula unit; total energy = -5.673 eV per atom
1.0
5.622 -0.099 -0.143
-2.786 4.884 0.143
-2.786 -1.582 4.623
H P Tc Ce
4 2 1 2
direct
0.546 0.773 0.773
0.000 0.773 0.227
0.454 0.227 0.227
0.000 0.227 0.773
0.000 0.704 0.704
0.000 0.296 0.296
0.000 0.000 0.000
0.500 0.250 0.750
0.500 0.750 0.250

***

Na3LiNb, optimized geometry, DFT PBE-GGA; ΔE to the lowest computed polymorph = 0.0 meV per atom; density of states at the Fermi level = 4.85 states/eV/cell; total moment = 3.86 μB per formula unit
1.0
-4.996 -0.587 -1.537
1.345 -4.288 -2.733
-0.948 -2.989 4.223
Na Nb Li
3 1 1
direct
0.500 0.000 0.000
0.000 0.500 0.000
0.000 0.000 0.500
0.500 0.500 0.500
0.000 0.000 0.000

***

NaLiO, optimized geometry, DFT PBE-GGA; formation energy from raw total energies = -1.399 eV/atom; density of states at the Fermi level = 0.00 states/eV/cell; total moment = 0.00 μB per formula unit
1.0
3.597 0.000 0.000
0.000 3.305 0.000
0.000 -1.652 2.862
Na Li O
1 1 1
direct
0.667 0.667 0.333
0.167 0.333 0.667
0.167 0.000 0.000

***

Er2GaP, optimized geometry, DFT PBE-GGA; ΔE to the lowest computed polymorph = 181.5 meV per atom; density of states at the Fermi level = 2.26 states/eV/cell; total moment = 0.00 μB per formula unit
1.0
-1.301 -3.092 1.831
0.759 -3.489 -1.364
6.177 -2.424 4.285
P Er Ga
1 2 1
direct
0.668 0.668 0.997
0.262 0.262 0.215
0.071 0.071 0.787
0.500 0.500 0.501

***

Question: Number 2 is which compound?
Answer: GaNiIrC

***

Question: total moment of number 7 (Ti2ReNiB)?
Answer: 0.00 μB per formula unit